A plane-wave DFT calculation with GGA-PBE was carried out for crystalline PmGaAgSn at its relaxed geometry.

Summary:
As for the space group: F-43m. Its energy of formation from the pure elements is -30 kJ/mol of atoms.

```
PmGaAgSn
1.0
7.1754 0.0000 0.0000
0.0000 7.1754 0.0000
0.0000 0.0000 7.1754
Pm Ga Ag Sn
4 4 4 4
direct
0.0000 0.0000 0.0000
0.0000 0.5000 0.5000
0.5000 0.0000 0.5000
0.5000 0.5000 0.0000
0.2500 0.2500 0.2500
0.2500 0.7500 0.7500
0.7500 0.2500 0.7500
0.7500 0.7500 0.2500
0.2500 0.2500 0.7500
0.2500 0.7500 0.2500
0.7500 0.2500 0.2500
0.7500 0.7500 0.7500
0.0000 0.0000 0.5000
0.0000 0.5000 0.0000
0.5000 0.0000 0.0000
0.5000 0.5000 0.5000
```